# 1
Compound: CsAlSi
Source: Alexandria
Functional: PBE
Structure: optimized geometry

a = 8.6496 Å, b = 4.2406 Å, c = 11.7773 Å
α = 90.00°, β = 90.00°, γ = 90.00°
Space group Pnma (No. 62)
Unique sites:
Cs (0.0165, 0.2500, 0.1808) x4
Al (0.0952, 0.2500, 0.5121) x4
Si (0.1922, 0.7500, 0.4309) x4

Properties
Uncorrected formation energy = 43 meV/atom


# 2
Compound: CsAlSi2
Source: Alexandria
Functional: PBE
Structure: optimized geometry

a = 5.4164 Å, b = 5.4164 Å, c = 16.6974 Å
α = 90.00°, β = 90.00°, γ = 90.00°
Space group I4_1/amd (No. 141, origin choice 2)
Unique sites:
Cs (0.0000, 0.2500, 0.3750) x4
Al (0.0000, 0.2500, 0.8750) x4
Si (0.0000, 0.0000, 0.0000) x8

Properties
Uncorrected formation energy = 314 meV/atom


# 3
Compound: CsAlSi3
Source: Alexandria
Functional: PBE
Structure: optimized geometry

a = 5.0282 Å, b = 5.0282 Å, c = 5.0282 Å
α = 90.00°, β = 90.00°, γ = 90.00°
Space group Pm-3m (No. 221)
Unique sites:
Cs (0.0000, 0.0000, 0.0000) x1
Al (0.5000, 0.5000, 0.5000) x1
Si (0.0000, 0.5000, 0.5000) x3

Properties
Uncorrected formation energy = 756 meV/atom
Distance to the lowest polymorph of the same formula = 0 meV/atom


# 4
Compound: CsAlSiTe2
Source: Alexandria
Functional: PBE
Structure: optimized geometry

a = 5.5130 Å, b = 5.5130 Å, c = 5.9722 Å
α = 90.00°, β = 90.00°, γ = 90.00°
Space group P4/mmm (No. 123)
Unique sites:
Cs (0.0000, 0.0000, 0.0000) x1
Al (0.5000, 0.5000, 0.0000) x1
Si (0.0000, 0.0000, 0.5000) x1
Te (0.0000, 0.5000, 0.5000) x2

Properties
Uncorrected formation energy = 399 meV/atom


# 5
Compound: Cs2AlZnSi
Source: Alexandria
Functional: PBE
Structure: optimized geometry

a = 6.9790 Å, b = 6.9790 Å, c = 4.8371 Å
α = 90.00°, β = 90.00°, γ = 90.00°
Space group P4/mmm (No. 123)
Unique sites:
Cs (0.0000, 0.5000, 0.0000) x2
Al (0.0000, 0.0000, 0.5000) x1
Zn (0.0000, 0.0000, 0.0000) x1
Si (0.5000, 0.5000, 0.5000) x1

Properties
Uncorrected formation energy = 697 meV/atom


# 6
Compound: CsSmAlTe4
Source: Alexandria
Functional: PBE
Structure: optimized geometry

a = 7.7504 Å, b = 6.6235 Å, c = 10.8424 Å
α = 90.00°, β = 105.91°, γ = 90.00°
Space group P2_1/m (No. 11)
Unique sites:
Cs (0.2408, 0.2500, 0.0502) x2
Sm (0.2513, 0.2500, 0.5496) x2
Al (0.2629, 0.7500, 0.3370) x2
Te (0.0117, 0.5089, 0.7012) x4
Te (0.4236, 0.7500, 0.5809) x2
Te (0.4564, 0.7500, 0.1798) x2

Properties
Uncorrected formation energy = -957 meV/atom


# 7
Compound: Cs4Sm3AlTe8
Source: Alexandria
Functional: PBE
Structure: optimized geometry

a = 9.1179 Å, b = 9.1179 Å, c = 26.7483 Å
α = 90.00°, β = 90.00°, γ = 120.00°
Space group R-3m (No. 166, hexagonal axes)
Unique sites:
Cs (0.0000, 0.0000, 0.0000) x3
Cs (0.0000, 0.5000, 0.0000) x9
Sm (0.0000, 0.5000, 0.5000) x9
Al (0.0000, 0.0000, 0.5000) x3
Te (0.0000, 0.0000, 0.2319) x6
Te (0.0231, 0.5116, 0.2277) x18

Properties
Uncorrected formation energy = -1177 meV/atom


# 8
Compound: Cs3AlSn
Source: Alexandria
Functional: PBE
Structure: optimized geometry

a = 13.1677 Å, b = 11.7671 Å, c = 9.3587 Å
α = 90.00°, β = 127.79°, γ = 90.00°
Space group C2/m (No. 12)
Unique sites:
Cs (0.0466, 0.0000, 0.2547) x4
Cs (0.2332, 0.3074, 0.2224) x8
Al (0.1811, 0.5000, 0.8096) x4
Sn (0.0797, 0.5000, 0.4329) x4

Properties
Distance to the lowest polymorph of the same formula = 0 meV/atom


# 9
Compound: CsAlSn
Source: Alexandria
Functional: PBE
Structure: optimized geometry

a = 12.4037 Å, b = 4.2576 Å, c = 10.2237 Å
α = 90.00°, β = 90.00°, γ = 90.00°
Space group Pnma (No. 62)
Unique sites:
Cs (0.1792, 0.2500, 0.0747) x4
Al (0.0408, 0.2500, 0.7133) x4
Sn (0.0748, 0.2500, 0.4457) x4

Properties
E = -2.767 eV per atom


# 10
Compound: Cs4AlSn2
Source: Alexandria
Functional: PBE
Structure: optimized geometry

a = 7.5320 Å, b = 7.5320 Å, c = 18.2241 Å
α = 90.00°, β = 90.00°, γ = 90.00°
Space group I4/mmm (No. 139)
Unique sites:
Cs (0.0000, 0.0000, 0.2118) x4
Cs (0.0000, 0.5000, 0.0000) x4
Al (0.0000, 0.0000, 0.0000) x2
Sn (0.0000, 0.0000, 0.4261) x4

Properties
E = -1.900 eV per atom


# 11
Compound: CsAl3Sn3
Source: Alexandria
Functional: PBE
Structure: optimized geometry

a = 7.7603 Å, b = 7.7603 Å, c = 7.7603 Å
α = 90.00°, β = 90.00°, γ = 90.00°
Space group Pm-3n (No. 223)
Unique sites:
Cs (0.0000, 0.0000, 0.0000) x2
Al (0.0000, 0.2500, 0.5000) x6
Sn (0.0000, 0.5000, 0.2500) x6

Properties
E = -3.415 eV per atom


# 12
Compound: CsAlSn3
Source: Alexandria
Functional: PBE
Structure: optimized geometry

a = 6.2256 Å, b = 6.2256 Å, c = 6.2256 Å
α = 90.00°, β = 90.00°, γ = 90.00°
Space group Pm-3m (No. 221)
Unique sites:
Cs (0.0000, 0.0000, 0.0000) x1
Al (0.5000, 0.5000, 0.5000) x1
Sn (0.0000, 0.0000, 0.5000) x3

Properties
Distance to the lowest polymorph of the same formula = 1310 meV/atom